Here is a relaxed structure of CaHo2NpO6 from the Alexandria database. Energies are from GGA-PBE.

a b c (Å): 6.0945 6.0945 6.0945
angles (deg): 57.32 57.32 57.32
Element x y z (fractional)
Ca  0.0000  0.0000  0.0000
Ho  0.2785  0.2785  0.2785
Ho  0.7832  0.7832  0.7832
Np  0.4920  0.4920  0.4920
O  0.0998  0.6635  0.4087
O  0.1854  0.5838  0.8879
O  0.4087  0.0998  0.6635
O  0.5838  0.8879  0.1854
O  0.6635  0.4087  0.0998
O  0.8879  0.1854  0.5838

Results
- Symmetry: R3 (146)
- ΔE_f (raw): -3.25 eV/atom